This record from OQMD via LeMat-Bulk describes PdN2 after structural relaxation. The functional is PBE-GGA.

Properties
VASP energy: -6.80 eV per atom
Theoretical density: 7.07 g cm⁻³

Lattice parameters (Å, degrees): 5.0168 5.0168 5.0168 90.00 90.00 90.00
Closest atoms and distances in Å follow each position.
Space group Pa-3 (No. 205)
One atom of each set of equivalent atoms:
Pd 0.0000 0.0000 0.0000 [4 per cell]  6 N 2.21
N 0.0711 0.5711 0.9289 [8 per cell]  1 N 1.24

This record from OQMD via LeMat-Bulk describes BaSbPtAu after structural relaxation. The functional is PBE-GGA.

Properties
Energy above the lowest structure with this stoichiometry: 0.00 eV/f.u.
VASP energy: -4.15 eV per atom
Theoretical density: 10.81 g cm⁻³

Lattice parameters (Å, degrees): 7.3691 7.3691 7.3691 90.00 90.00 90.00
Closest atoms and distances in Å follow each position.
Space group F-43m (No. 216)
One atom of each set of equivalent atoms:
Ba 0.0000 0.0000 0.0000 [4 per cell]  4 Pt 3.19, 4 Au 3.19
Sb 0.0000 0.0000 0.5000 [4 per cell]  4 Pt 3.19, 4 Au 3.19
Pt 0.2500 0.2500 0.2500 [4 per cell]  4 Ba 3.19, 4 Sb 3.19
Au 0.2500 0.2500 0.7500 [4 per cell]  4 Ba 3.19, 4 Sb 3.19